Entry from the Alexandria database: CrP2SO after structural relaxation (PBE with a Hubbard U).

## Properties
- magnetic moment (μB/f.u.) = 1.898
- energy above the lowest structure with this stoichiometry (meV per atom) = 486.2

a b c (Å): 3.7381 3.7381 5.9009
angles (deg): 90.00 90.00 90.00
With the nearest neighbours (Å) after each atom.
Space group P4/mmm (No. 123)
Asymmetric unit:
1 Cr 0.0000 0.0000 0.0000 x1  4 S 2.64
2 P 0.0000 0.5000 0.5000 x2  2 O 1.87
3 S 0.5000 0.5000 0.0000 x1  4 Cr 2.64, 2 O 2.95
4 O 0.5000 0.5000 0.5000 x1  4 P 1.87